First-principles (PBE) data for a relaxed structure of KTa2SiH, as listed in Alexandria.

Cell lengths 4.7136, 4.7136, 6.3603 Å; angles 90.00, 90.00, 90.00 degrees
Positions (direct):
K 0.0000 0.0000 0.0000
Ta 0.0000 0.5000 0.5000
Ta 0.5000 0.0000 0.5000
Si 0.5000 0.5000 0.5000
H 0.5000 0.5000 0.0000

## Properties
uncorrected energy: -5.061 eV/atom
symmetry: P4/mmm (123)
size of the total moment: 0.00 μB per cell
density: 5.054 g/cm³


First-principles (PBE) data for a relaxed structure of Pm2PuSn, as listed in Alexandria.

Cell lengths 12.1267, 12.1267, 12.1267 Å; angles 16.37, 16.37, 16.37 degrees
Positions (direct):
Pm 0.0925 0.0925 0.0925
Pm 0.9075 0.9075 0.9075
Pu 0.0000 0.0000 0.0000
Sn 0.5000 0.5000 0.5000

## Properties
formation enthalpy at 0 K: 0.071 eV per atom
symmetry: R-3m (166)
size of the total moment: 6.30 μB per cell
E above lowest polymorph: 0.4036 eV/atom
density: 8.780 g/cm³


First-principles (PBE) data for a relaxed structure of NdDy12Sc3, as listed in Alexandria.

Cell lengths 4.9550, 4.9550, 19.7463 Å; angles 90.00, 90.00, 90.00 degrees
Positions (direct):
Nd 0.0000 0.0000 0.0000
Dy 0.0000 0.5000 0.1306
Dy 0.0000 0.5000 0.3770
Dy 0.0000 0.5000 0.6230
Dy 0.0000 0.5000 0.8694
Dy 0.5000 0.0000 0.1306
Dy 0.5000 0.0000 0.3770
Dy 0.5000 0.0000 0.6230
Dy 0.5000 0.0000 0.8694
Dy 0.5000 0.5000 0.0000
Dy 0.5000 0.5000 0.2547
Dy 0.5000 0.5000 0.5000
Dy 0.5000 0.5000 0.7453
Sc 0.0000 0.0000 0.2535
Sc 0.0000 0.0000 0.5000
Sc 0.0000 0.0000 0.7465

## Properties
formation enthalpy at 0 K: 0.038 eV per atom
symmetry: P4/mmm (123)
size of the total moment: 0.00 μB per cell
density: 7.635 g/cm³


First-principles (PBE) data for a relaxed structure of Mg2Zn4Ag3, as listed in Alexandria.

Cell lengths 5.0337, 5.0337, 8.4660 Å; angles 109.12, 109.12, 49.01 degrees
Positions (direct):
Mg 0.1621 0.1621 0.2225
Mg 0.8379 0.8379 0.7775
Zn 0.1725 0.1725 0.8918
Zn 0.5005 0.5005 0.3389
Zn 0.4995 0.4995 0.6611
Zn 0.8275 0.8275 0.1082
Ag 0.1686 0.1686 0.5660
Ag 0.5000 0.5000 0.0000
Ag 0.8314 0.8314 0.4340

## Properties
formation enthalpy at 0 K: -0.101 eV per atom
symmetry: C2/m (12)
size of the total moment: 0.00 μB per cell
density: 6.968 g/cm³


First-principles (PBE) data for a relaxed structure of Hg2OsCl, as listed in Alexandria.

Cell lengths 2.9865, 2.9865, 9.7960 Å; angles 90.00, 90.00, 90.00 degrees
Positions (direct):
Hg 0.0000 0.0000 0.0000
Hg 0.5000 0.5000 0.2901
Os 0.0000 0.0000 0.4995
Cl 0.5000 0.5000 0.6561

## Properties
symmetry: P4mm (99)
size of the total moment: 0.89 μB per cell
E above lowest polymorph: 0.2598 eV/atom
density: 11.914 g/cm³


First-principles (PBE) data for a relaxed structure of Dy2ErScTl4, as listed in Alexandria.

Cell lengths 9.1906, 9.1906, 9.1906 Å; angles 33.45, 33.45, 33.45 degrees
Positions (direct):
Dy 0.2489 0.2489 0.2489
Dy 0.7511 0.7511 0.7511
Er 0.0000 0.0000 0.0000
Sc 0.5000 0.5000 0.5000
Tl 0.1262 0.1262 0.1262
Tl 0.3763 0.3763 0.3763
Tl 0.6237 0.6237 0.6237
Tl 0.8738 0.8738 0.8738

## Properties
formation enthalpy at 0 K: -0.305 eV per atom
symmetry: R-3m (166)
size of the total moment: 0.00 μB per cell
density: 10.707 g/cm³


First-principles (PBE) data for a relaxed structure of SrCe2Pu, as listed in Alexandria.

Cell lengths 10.4899, 10.4899, 10.4899 Å; angles 20.23, 20.23, 20.23 degrees
Positions (direct):
Sr 0.0000 0.0000 0.0000
Ce 0.1167 0.1167 0.1167
Ce 0.8833 0.8833 0.8833
Pu 0.5000 0.5000 0.5000

## Properties
formation enthalpy at 0 K: 0.446 eV per atom
symmetry: R-3m (166)
size of the total moment: 1.79 μB per cell
density: 8.410 g/cm³


First-principles (PBE) data for a relaxed structure of Sm3HgRu, as listed in Alexandria.

Cell lengths 5.3974, 5.3974, 5.3974 Å; angles 90.00, 90.00, 90.00 degrees
Positions (direct):
Sm 0.0000 0.0000 0.5000
Sm 0.0000 0.5000 0.0000
Sm 0.5000 0.0000 0.0000
Hg 0.5000 0.5000 0.5000
Ru 0.0000 0.0000 0.0000

## Properties
formation enthalpy at 0 K: -0.118 eV per atom
symmetry: Pm-3m (221)
size of the total moment: 0.00 μB per cell
E above lowest polymorph: 0.2266 eV/atom
density: 7.950 g/cm³